## PrCo2SbO6 (PBE with a Hubbard U)

Data for a relaxed structure of PrCo2SbO6.

The structure belongs to space group R3 (No. 146, hexagonal axes); the cell edges are 5.4288, 5.4288 and 13.9777 Å and the angles 90.00°, 90.00° and 120.00°. The inequivalent atoms are Pr at (0.0000, 0.0000, 0.0000), Co at (0.0000, 0.0000, 0.2589), Co at (0.0000, 0.0000, 0.7754), Sb at (0.0000, 0.0000, 0.4733), O at (0.0154, 0.5847, 0.0364) and O at (0.0201, 0.3979, 0.5218).

As for the crystal system: trigonal. The value obtained for the total energy is -6.51 eV per atom. The calculated volume comes out at 357 Å³/cell.